No. 1
First-principles (PBE) data for crystalline BeTlPb2 at its relaxed geometry, as listed in Alexandria.

Its uncorrected energy is -2.97 eV/atom. The density of states at the Fermi level comes out at 0.438 states/eV per atom. The density is 10.03 Mg/m³. As for the space-group type: Imm2 (44). As for the formation energy: 411 meV per atom. The energy above the most stable polymorph in this dataset is 0.090 eV/atom.

a = 6.2363 Å, b = 6.2363 Å, c = 6.2363 Å
α = 147.37°, β = 126.56°, γ = 64.03°
Last column: nearest neighbours and their distance in Å.
Positions (direct):
Be  0.2515  0.7515  0.5000  2 Tl 2.73, 2 Pb 2.75
Pb  0.7471  0.2471  0.5000  4 Be 3.31, 6 Pb 3.49-3.66, 4 Tl 3.53-3.60
Pb  0.0512  0.0512  0.0000  2 Be 2.75
Tl  0.4501  0.4501  0.0000  2 Be 2.73

---

No. 2
First-principles (PBE) data for crystalline BeTlPb2 at its relaxed geometry, as listed in Alexandria.

Its uncorrected energy is -3.03 eV/atom. The density of states at the Fermi level comes out at 0.522 states/eV per atom. The density is 9.96 Mg/m³. As for the space-group type: P4/mmm (123). As for the formation energy: 346 meV per atom. The energy above the most stable polymorph in this dataset is 0.026 eV/atom.

a = 3.4478 Å, b = 3.4510 Å, c = 8.7985 Å
α = 90.00°, β = 90.00°, γ = 90.00°
Last column: nearest neighbours and their distance in Å.
Positions (direct):
Tl  0.5000  0.5000  0.2500  4 Tl 3.45, 8 Pb 3.66
Be  0.5000  0.5000  0.7500  8 Pb 2.96
Pb  0.0000  0.0000  0.9404  4 Be 2.96
Pb  0.0000  0.0000  0.5596  4 Be 2.96

---

No. 3
First-principles (PBE) data for crystalline BeTlPb at its relaxed geometry, as listed in Alexandria.

Its uncorrected energy is -2.76 eV/atom. The density of states at the Fermi level comes out at 0.303 states/eV per atom. The density is 9.56 Mg/m³. As for the space-group type: I4mm (107). As for the formation energy: 507 meV per atom. The energy above the most stable polymorph in this dataset is 0.268 eV/atom.

a = 7.1078 Å, b = 7.1078 Å, c = 7.1078 Å
α = 153.16°, β = 153.16°, γ = 38.32°
Last column: nearest neighbours and their distance in Å.
Positions (direct):
Tl  0.6364  0.6364  0.0000  4 Be 2.99, 4 Tl 3.30
Pb  0.3661  0.3661  0.0000  4 Be 2.92
Be  0.9975  0.9975  0.0000  4 Pb 2.92, 4 Tl 2.99

---

No. 4
First-principles (PBE) data for crystalline BeTlPb2 at its relaxed geometry, as listed in Alexandria.

Its uncorrected energy is -3.05 eV/atom. The density of states at the Fermi level comes out at 0.509 states/eV per atom. The density is 9.33 Mg/m³. As for the space-group type: C2/m (12). As for the formation energy: 329 meV per atom. The energy above the most stable polymorph in this dataset is 0.008 eV/atom.

a = 4.1585 Å, b = 4.1585 Å, c = 7.8150 Å
α = 75.59°, β = 75.59°, γ = 59.63°
Last column: nearest neighbours and their distance in Å.
Positions (direct):
Be  0.7500  0.7500  0.7500  6 Pb 2.69-2.70
Tl  0.2500  0.2500  0.2500  6 Pb 3.43-3.49
Pb  0.4698  0.4698  0.5856  3 Be 2.69-2.70
Pb  0.0302  0.0302  0.9144  3 Be 2.69-2.70

---

No. 5
First-principles (PBE) data for crystalline BeTlPb2 at its relaxed geometry, as listed in Alexandria.

Its uncorrected energy is -2.83 eV/atom. The density of states at the Fermi level comes out at 0.392 states/eV per atom. The density is 9.63 Mg/m³. As for the space-group type: P2/m (10). As for the formation energy: 546 meV per atom. The energy above the most stable polymorph in this dataset is 0.225 eV/atom.

a = 3.5501 Å, b = 5.8460 Å, c = 6.5443 Å
α = 52.81°, β = 90.00°, γ = 90.00°
Last column: nearest neighbours and their distance in Å.
Positions (direct):
Be  0.0000  0.0000  0.5000  6 Pb 3.27-3.29, 4 Tl 3.42, 2 Be 3.55
Tl  0.5000  0.5000  0.5000  6 Pb 3.27-3.29, 4 Be 3.42, 2 Tl 3.55
Pb  0.5000  0.5000  0.0000  2 Tl 3.27, 4 Be 3.29, 6 Pb 3.42-3.55
Pb  0.0000  0.0000  0.0000  2 Be 3.27, 4 Tl 3.29, 6 Pb 3.42-3.55

---

No. 6
First-principles (PBE) data for crystalline BeTlPb at its relaxed geometry, as listed in Alexandria.

Its uncorrected energy is -2.97 eV/atom. The density of states at the Fermi level comes out at 0.341 states/eV per atom. The density is 9.53 Mg/m³. As for the space-group type: P4/nmm (129). As for the formation energy: 302 meV per atom. The energy above the most stable polymorph in this dataset is 0.063 eV/atom.

a = 3.3265 Å, b = 3.3265 Å, c = 13.2438 Å
α = 90.00°, β = 90.00°, γ = 90.00°
Last column: nearest neighbours and their distance in Å.
Positions (direct):
Be  0.0000  0.0000  0.0000  4 Be 2.35
Be  0.5000  0.5000  0.0000  4 Be 2.35
Pb  0.5000  0.0000  0.8268  4 Be 2.83
Pb  0.0000  0.5000  0.1732  4 Be 2.83
Tl  0.5000  0.0000  0.3952  8 Tl 3.33-3.64
Tl  0.0000  0.5000  0.6048  8 Tl 3.33-3.64

---

No. 7
First-principles (PBE) data for crystalline Be2TlPb2 at its relaxed geometry, as listed in Alexandria.

Its uncorrected energy is -2.77 eV/atom. The density of states at the Fermi level comes out at 0.357 states/eV per atom. The density is 8.84 Mg/m³. As for the space-group type: P4/mbm (127). As for the formation energy: 674 meV per atom. The energy above the most stable polymorph in this dataset is 0.134 eV/atom.

a = 8.6460 Å, b = 8.6460 Å, c = 3.2012 Å
α = 90.00°, β = 90.00°, γ = 90.00°
Last column: nearest neighbours and their distance in Å.
Positions (direct):
Be  0.5954  0.9046  0.5000  1 Be 2.33
Be  0.9046  0.4046  0.5000  1 Be 2.33
Be  0.0954  0.5954  0.5000  1 Be 2.33
Be  0.4046  0.0954  0.5000  1 Be 2.33
Tl  0.0000  0.0000  0.0000  2 Tl 3.20, 4 Pb 3.22
Tl  0.5000  0.5000  0.0000  2 Tl 3.20, 4 Pb 3.22
Pb  0.3330  0.8330  0.0000  4 Be 2.84
Pb  0.6670  0.1670  0.0000  4 Be 2.84
Pb  0.8330  0.6670  0.0000  4 Be 2.84
Pb  0.1670  0.3330  0.0000  4 Be 2.84

---

No. 8
First-principles (PBE) data for crystalline BeTlPb at its relaxed geometry, as listed in Alexandria.

Its uncorrected energy is -3.03 eV/atom. The density of states at the Fermi level comes out at 0.379 states/eV per atom. The density is 9.26 Mg/m³. As for the space-group type: P-3m1 (164). As for the formation energy: 239 meV per atom. The energy above the most stable polymorph in this dataset is 0.000 eV/atom.

a = 3.8100 Å, b = 3.8100 Å, c = 12.0013 Å
α = 90.00°, β = 90.00°, γ = 120.00°
Last column: nearest neighbours and their distance in Å.
Positions (direct):
Pb  0.0000  0.0000  0.8534  6 Be 2.81-2.82
Pb  0.0000  0.0000  0.1466  6 Be 2.81-2.82
Tl  0.6667  0.3333  0.3880  9 Tl 3.47-3.81, 3 Pb 3.64
Tl  0.3333  0.6667  0.6120  9 Tl 3.47-3.81, 3 Pb 3.64
Be  0.3333  0.6667  0.9995  3 Be 2.20
Be  0.6667  0.3333  0.0005  3 Be 2.20

---

No. 9
First-principles (PBE) data for crystalline BeTlPb2 at its relaxed geometry, as listed in Alexandria.

Its uncorrected energy is -2.83 eV/atom. The density of states at the Fermi level comes out at 0.473 states/eV per atom. The density is 9.64 Mg/m³. As for the space-group type: F-43m (216). As for the formation energy: 550 meV per atom. The energy above the most stable polymorph in this dataset is 0.229 eV/atom.

a = 5.3474 Å, b = 5.3474 Å, c = 5.3474 Å
α = 60.00°, β = 60.00°, γ = 60.00°
Last column: nearest neighbours and their distance in Å.
Positions (direct):
Be  0.5000  0.5000  0.5000  4 Pb 3.27, 4 Tl 3.27
Pb  0.0000  0.0000  0.0000  4 Tl 3.27, 4 Pb 3.27
Pb  0.7500  0.7500  0.7500  4 Be 3.27, 4 Pb 3.27
Tl  0.2500  0.2500  0.2500  4 Pb 3.27, 4 Be 3.27

---

No. 10
First-principles (PBE) data for crystalline Be2TlPb2 at its relaxed geometry, as listed in Alexandria.

Its uncorrected energy is -2.91 eV/atom. The density of states at the Fermi level comes out at 0.375 states/eV per atom. The density is 8.91 Mg/m³. As for the space-group type: I4/mmm (139). As for the formation energy: 540 meV per atom. The energy above the most stable polymorph in this dataset is 0.000 eV/atom.

a = 4.3266 Å, b = 4.3266 Å, c = 7.0416 Å
α = 72.11°, β = 72.11°, γ = 90.00°
Last column: nearest neighbours and their distance in Å.
Positions (direct):
Tl  0.0000  0.0000  0.0000  8 Pb 3.49, 8 Be 3.84
Be  0.2500  0.7500  0.5000  4 Pb 2.62
Be  0.7500  0.2500  0.5000  4 Pb 2.62
Pb  0.3669  0.3669  0.2661  4 Be 2.62
Pb  0.6331  0.6331  0.7339  4 Be 2.62

---

No. 11
First-principles (PBE) data for crystalline BeTlPb at its relaxed geometry, as listed in Alexandria.

Its uncorrected energy is -2.79 eV/atom. The density of states at the Fermi level comes out at 0.853 states/eV per atom. The density is 9.52 Mg/m³. As for the space-group type: F-43m (216). As for the formation energy: 472 meV per atom. The energy above the most stable polymorph in this dataset is 0.233 eV/atom.

a = 4.6988 Å, b = 4.6988 Å, c = 4.6988 Å
α = 60.00°, β = 60.00°, γ = 60.00°
Last column: nearest neighbours and their distance in Å.
Positions (direct):
Be  0.7500  0.7500  0.7500  4 Tl 2.88, 4 Pb 2.88
Tl  0.5000  0.5000  0.5000  4 Be 2.88
Pb  0.0000  0.0000  0.0000  4 Be 2.88

---

No. 12
First-principles (PBE) data for crystalline BeTlPb2 at its relaxed geometry, as listed in Alexandria.

Its uncorrected energy is -3.06 eV/atom. The density of states at the Fermi level comes out at 0.351 states/eV per atom. The density is 9.85 Mg/m³. As for the space-group type: Cmmm (65). As for the formation energy: 321 meV per atom. The energy above the most stable polymorph in this dataset is 0.000 eV/atom.

a = 3.4865 Å, b = 3.4865 Å, c = 8.9825 Å
α = 90.00°, β = 90.00°, γ = 104.30°
Last column: nearest neighbours and their distance in Å.
Positions (direct):
Pb  0.0000  0.0000  0.5611  2 Be 2.73
Pb  0.0000  0.0000  0.9389  2 Be 2.73
Tl  0.5000  0.5000  0.2500  4 Tl 3.49, 4 Pb 3.52
Be  0.5000  0.5000  0.7500  4 Pb 2.73